The following is a PBE calculation of crystalline SmDy5YTm2 at its relaxed geometry, from Alexandria via LeMat-Bulk.

a = 5.584 Å, b = 10.344 Å, c = 10.520 Å
α = 90.00°, β = 90.00°, γ = 105.66°
Element x y z (fractional)
Dy: 0.983 0.966 0.525
Dy: 0.608 0.216 0.525
Dy: 0.478 0.956 0.738
Dy: 0.280 0.560 0.308
Tm: 0.890 0.780 0.237
Dy: 0.392 0.784 0.025
Y: 0.413 0.826 0.453
Sm: 0.200 0.400 0.012
Tm: 0.110 0.220 0.737
Dy: 0.522 0.044 0.238
Dy: 0.300 0.601 0.708
Tm: 0.887 0.773 0.818
Sm: 0.800 0.600 0.512
Tm: 0.113 0.227 0.318
Dy: 0.700 0.399 0.208
Y: 0.587 0.174 0.953
Dy: 0.720 0.440 0.808
Dy: 0.017 0.034 0.025

Calculated values
* DOS at the Fermi energy: 28.87 states/eV per cell
* E: -4.630 eV per atom

---

The following is a PBE calculation of crystalline Sm3Dy6Y2Tm at its relaxed geometry, from Alexandria via LeMat-Bulk.

a = 6.174 Å, b = 6.174 Å, c = 11.808 Å
α = 94.98°, β = 94.98°, γ = 119.96°
Element x y z (fractional)
Dy: 0.083 0.415 0.248
Sm: 0.500 0.500 0.500
Sm: 0.833 0.167 0.500
Dy: 0.750 0.750 0.248
Dy: 0.415 0.083 0.248
Sm: 0.167 0.833 0.500
Dy: 0.917 0.585 0.752
Y: 0.667 0.333 0.000
Dy: 0.250 0.250 0.752
Y: 0.333 0.667 0.000
Tm: 0.000 0.000 0.000
Dy: 0.585 0.917 0.752

Calculated values
* DOS at the Fermi energy: 16.16 states/eV per cell
* E: -4.912 eV per atom

---

The following is a PBE calculation of crystalline Sm6DyY2Tm3 at its relaxed geometry, from Alexandria via LeMat-Bulk.

a = 6.207 Å, b = 6.207 Å, c = 11.768 Å
α = 95.02°, β = 95.02°, γ = 119.98°
Element x y z (fractional)
Sm: 0.916 0.583 0.748
Sm: 0.417 0.084 0.252
Tm: 0.833 0.167 0.500
Sm: 0.248 0.248 0.748
Tm: 0.167 0.833 0.500
Sm: 0.084 0.417 0.252
Sm: 0.583 0.916 0.748
Y: 0.333 0.667 0.000
Sm: 0.752 0.752 0.252
Tm: 0.500 0.500 0.500
Dy: 0.000 0.000 0.000
Y: 0.667 0.333 0.000

Calculated values
* DOS at the Fermi energy: 14.13 states/eV per cell
* E: -4.922 eV per atom

---

The following is a PBE calculation of crystalline Sm2DyYTm5 at its relaxed geometry, from Alexandria via LeMat-Bulk.

a = 8.605 Å, b = 8.605 Å, c = 9.780 Å
α = 116.10°, β = 116.10°, γ = 90.00°
Element x y z (fractional)
Tm: 0.572 0.652 0.724
Sm: 0.883 0.617 0.000
Y: 0.750 0.750 0.500
Tm: 0.848 0.928 0.276
Dy: 0.250 0.750 0.500
Tm: 0.928 0.428 0.276
Tm: 0.428 0.348 0.276
Y: 0.250 0.250 0.500
Tm: 0.500 0.500 0.000
Tm: 0.652 0.152 0.724
Sm: 0.117 0.383 0.000
Tm: 0.348 0.848 0.276
Sm: 0.383 0.883 0.000
Dy: 0.750 0.250 0.500
Sm: 0.617 0.117 0.000
Tm: 0.152 0.072 0.724
Tm: 0.000 0.000 0.000
Tm: 0.072 0.572 0.724

Calculated values
* DOS at the Fermi energy: 20.94 states/eV per cell
* E: -4.486 eV per atom